(1)
VASP calculation (GGA-PBE) on a geometry-optimized SnPPd2N structure.

Calculated values
DOS(E_F) (states/eV per atom): 0.61
Electronic total energy (Ry/atom): -0.3822
Uncorrected formation energy (meV per atom): 425
Space group: P4/mmm (123)

```
SnPPd2N
1.0
4.3258 0.0000 0.0000
0.0000 4.1623 0.0000
0.0000 0.0000 4.3258
P Sn Pd N
1 1 2 1
direct
0.0000 0.5000 0.0000 P
0.5000 0.5000 0.5000 Sn
0.0000 0.0000 0.5000 Pd
0.5000 0.0000 0.0000 Pd
0.0000 0.0000 0.0000 N
```

=====

(2)
VASP calculation (GGA-PBE) on a geometry-optimized Cr2HgAs2 structure.

Calculated values
Energy of formation (eV per atom): 0.15
DOS(E_F) (states/eV per atom): 0.51
Electronic total energy (Ry/atom): -0.4128
Space group: P4/mbm (127)
Energy above the most stable polymorph in this dataset (meV/atom): 49

```
Cr2HgAs2
1.0
-1.5282 -0.2879 -7.0605
0.7871 -7.1857 0.1226
-3.0970 -0.3276 0.6837
Cr As Hg
4 4 2
direct
0.3656 0.8656 0.0000 Cr
0.8656 0.6344 0.0000 Cr
0.6344 0.1344 0.0000 Cr
0.1344 0.3656 0.0000 Cr
0.1476 0.6476 0.5000 As
0.6476 0.8524 0.5000 As
0.8524 0.3524 0.5000 As
0.3524 0.1476 0.5000 As
0.0000 0.0000 0.0000 Hg
0.5000 0.5000 0.0000 Hg
```

=====

(3)
VASP calculation (GGA-PBE) on a geometry-optimized Zn3InGaO6 structure.

Calculated values
Electronic total energy (Ry/atom): -0.3776
Uncorrected formation energy (meV per atom): -1562
Space group: R3m (160)

```
Zn3InGaO6
1.0
-10.4278 7.5062 5.8974
-9.0301 6.4666 8.7466
-7.8977 9.2234 7.2399
Zn O Ga In
3 6 1 1
direct
0.2613 0.2613 0.2613 Zn
0.7414 0.7414 0.7414 Zn
0.8655 0.8655 0.8655 Zn
0.9132 0.9132 0.9132 O
0.0895 0.0895 0.0895 O
0.1844 0.1844 0.1844 O
0.8037 0.8037 0.8037 O
0.6941 0.6941 0.6941 O
0.3087 0.3087 0.3087 O
0.1368 0.1368 0.1368 Ga
0.0013 0.0013 0.0013 In
```

=====

(4)
VASP calculation (GGA-PBE) on a geometry-optimized YSc2In structure.

Calculated values
Energy of formation (eV per atom): -0.23
DOS(E_F) (states/eV per atom): 1.43
Electronic total energy (Ry/atom): -0.4189
Space group: I-4m2 (119)

```
YSc2In
1.0
-3.8042 -3.5817 2.5543
-1.2280 -4.6840 -3.2213
4.9389 2.5461 1.7171
Y Sc In
1 2 1
direct
0.5000 0.5000 0.0000 Y
0.0000 0.0000 0.0000 Sc
0.2500 0.7500 0.5000 Sc
0.7500 0.2500 0.5000 In
```

=====

(5)
VASP calculation (GGA-PBE) on a geometry-optimized PmNd8Th4 structure.

Calculated values
Energy of formation (eV per atom): 0.55
DOS(E_F) (states/eV per atom): 1.64
Electronic total energy (Ry/atom): -0.3697
Space group: R-3m (166)

```
PmNd8Th4
1.0
10.1023 -0.0008 -5.4505
-6.5210 9.4467 -0.0005
-2.5924 -1.7891 7.2827
Pm Nd Th
1 8 4
direct
0.0000 0.5000 0.5000 Pm
0.5269 0.7635 0.2904 Nd
0.4731 0.2365 0.7096 Nd
0.4560 0.2280 0.1943 Nd
0.0337 0.2616 0.8057 Nd
0.5440 0.7720 0.8057 Nd
0.0337 0.7720 0.8057 Nd
0.9663 0.2280 0.1943 Nd
0.9663 0.7384 0.1943 Nd
0.0000 0.0000 0.0000 Th
0.0000 0.5000 0.0000 Th
0.5000 0.5000 0.0000 Th
0.5000 0.0000 0.0000 Th
```

=====

(6)
VASP calculation (GGA-PBE) on a geometry-optimized Pm2Sn4IrPd3 structure.

Calculated values
Energy of formation (eV per atom): -0.68
DOS(E_F) (states/eV per atom): 0.75
Electronic total energy (Ry/atom): -0.4175
Space group: P-4m2 (115)

```
Pm2Sn4IrPd3
1.0
4.5146 0.0000 0.0000
0.0000 4.5146 0.0000
0.0000 0.0000 10.9403
Pm Sn Ir Pd
2 4 1 3
direct
0.5000 0.0000 0.2621 Pm
0.0000 0.5000 0.7379 Pm
0.5000 0.5000 0.0000 Sn
0.0000 0.0000 0.0000 Sn
0.5000 0.0000 0.6286 Sn
0.0000 0.5000 0.3714 Sn
0.5000 0.5000 0.5000 Ir
0.0000 0.0000 0.5000 Pd
0.5000 0.0000 0.8648 Pd
0.0000 0.5000 0.1352 Pd
```

=====

(7)
VASP calculation (GGA-PBE) on a geometry-optimized La5FePb3 structure.

Calculated values
Energy of formation (eV per atom): -0.41
DOS(E_F) (states/eV per atom): 1.00
Electronic total energy (Ry/atom): -0.3914
Space group: P6_3/mcm (193)

```
La5FePb3
1.0
9.7944 0.0000 0.0000
-4.8972 8.4822 0.0000
0.0000 0.0000 6.8896
La Fe Pb
10 2 6
direct
0.7715 0.7715 0.7500 La
0.2285 0.0000 0.7500 La
0.0000 0.2285 0.7500 La
0.2285 0.2285 0.2500 La
0.7715 0.0000 0.2500 La
0.0000 0.7715 0.2500 La
0.6667 0.3333 0.0000 La
0.3333 0.6667 0.0000 La
0.3333 0.6667 0.5000 La
0.6667 0.3333 0.5000 La
0.0000 0.0000 0.0000 Fe
0.0000 0.0000 0.5000 Fe
0.4071 0.4071 0.7500 Pb
0.5929 0.0000 0.7500 Pb
0.0000 0.5929 0.7500 Pb
0.5929 0.5929 0.2500 Pb
0.4071 0.0000 0.2500 Pb
0.0000 0.4071 0.2500 Pb
```

=====

(8)
VASP calculation (GGA-PBE) on a geometry-optimized Ca2LaGeH structure.

Calculated values
DOS(E_F) (states/eV per atom): 0.73
Electronic total energy (Ry/atom): -0.2760
Space group: P4/mmm (123)

```
Ca2LaGeH
1.0
-0.0230 0.2926 4.8738
4.7773 -1.0053 0.0829
1.0097 4.7751 -0.2819
H Ge Ca La
1 1 2 1
direct
0.0000 0.0000 0.0000 H
0.5000 0.5000 0.5000 Ge
0.0000 0.5000 0.0000 Ca
0.5000 0.0000 0.0000 Ca
0.0000 0.0000 0.5000 La
```

=====

(9)
VASP calculation (GGA-PBE) on a geometry-optimized Pr3Tm2ScTe6 structure.

Calculated values
DOS(E_F) (states/eV per atom): 0.49
Electronic total energy (Ry/atom): -0.3923
Uncorrected formation energy (meV per atom): -1299
Space group: C2/m (12)

```
Pr3Tm2ScTe6
1.0
4.3170 0.0000 0.0000
0.0000 8.9670 0.1155
-2.1585 -2.7972 9.2790
Pr Tm Sc Te
3 2 1 6
direct
0.5000 0.5000 0.0000 Pr
0.8310 0.1634 0.6621 Pr
0.1690 0.8366 0.3379 Pr
0.8347 0.6680 0.6695 Tm
0.1653 0.3320 0.3305 Tm
0.5000 0.0000 0.0000 Sc
0.3412 0.9071 0.6824 Te
0.6715 0.5733 0.3430 Te
0.6588 0.0929 0.3176 Te
0.0027 0.2320 0.0054 Te
0.9973 0.7680 0.9946 Te
0.3285 0.4267 0.6570 Te
```

=====

(10)
VASP calculation (GGA-PBE) on a geometry-optimized CrAgGe structure.

Calculated values
Energy of formation (eV per atom): 0.25
DOS(E_F) (states/eV per atom): 1.18
Electronic total energy (Ry/atom): -0.4004
Space group: P4/nmm (129)

```
CrAgGe
1.0
-2.8008 -2.4614 1.2783
-0.4840 -1.3551 -3.6697
4.4595 -4.5143 1.0787
Cr Ge Ag
2 2 2
direct
0.0000 0.0000 0.5000 Cr
0.5000 0.5000 0.5000 Cr
0.0000 0.5000 0.2551 Ge
0.5000 0.0000 0.7449 Ge
0.0000 0.5000 0.8429 Ag
0.5000 0.0000 0.1571 Ag
```

=====

(11)
VASP calculation (GGA-PBE) on a geometry-optimized TiTePN2 structure.

Calculated values
DOS(E_F) (states/eV per atom): 0.67
Electronic total energy (Ry/atom): -0.4146
Uncorrected formation energy (meV per atom): 978
Space group: P4/mmm (123)
Energy above the most stable polymorph in this dataset (meV/atom): 371

```
TiTePN2
1.0
3.6106 0.0000 0.0000
0.0000 3.6106 0.0000
0.0000 0.0000 6.2390
P N Te Ti
1 2 1 1
direct
0.0000 0.0000 0.0000 P
0.0000 0.5000 0.0000 N
0.5000 0.0000 0.0000 N
0.0000 0.0000 0.5000 Te
0.5000 0.5000 0.5000 Ti
```

=====

(12)
VASP calculation (GGA-PBE) on a geometry-optimized CdPd2C structure.

Calculated values
Energy of formation (eV per atom): 0.39
DOS(E_F) (states/eV per atom): 0.23
Electronic total energy (Ry/atom): -0.3484
Space group: I-42d (122)
Energy above the most stable polymorph in this dataset (meV/atom): 0

```
CdPd2C
1.0
6.6035 0.0000 0.0000
0.0000 6.6035 0.0000
3.3017 3.3017 2.8940
C Pd Cd
2 4 2
direct
0.5000 0.5000 0.0000 C
0.2500 0.7500 0.5000 C
0.5087 0.1250 0.2500 Pd
0.2413 0.6250 0.2500 Pd
0.3750 0.4913 0.7500 Pd
0.8750 0.7587 0.7500 Pd
0.0000 0.0000 0.0000 Cd
0.7500 0.2500 0.5000 Cd
```

=====

(13)
VASP calculation (GGA-PBE) on a geometry-optimized CsNdP2S8 structure.

Calculated values
DOS(E_F) (states/eV per atom): 0.85
Electronic total energy (Ry/atom): -0.3470
Uncorrected formation energy (meV per atom): -599
Space group: P-3 (147)

```
CsNdP2S8
1.0
-5.8546 1.6343 1.6295
1.3065 -1.4772 -5.9761
-2.1514 -9.6050 1.9039
Cs Nd P S
1 1 2 8
direct
0.0000 0.0000 0.0000 Cs
0.0000 0.0000 0.5000 Nd
0.6667 0.3333 0.2767 P
0.3333 0.6667 0.7233 P
0.3333 0.6667 0.9255 S
0.3764 0.3740 0.3346 S
0.6260 0.0024 0.3346 S
0.6667 0.3333 0.0745 S
0.3740 0.9976 0.6654 S
0.6236 0.6260 0.6654 S
0.0024 0.3764 0.6654 S
0.9976 0.6236 0.3346 S
```

=====

(14)
VASP calculation (GGA-PBE) on a geometry-optimized Sm3Zn4Si2 structure.

Calculated values
DOS(E_F) (states/eV per atom): 0.58
Electronic total energy (Ry/atom): -0.2857
Uncorrected formation energy (meV per atom): -543
Space group: C2/m (12)

```
Sm3Zn4Si2
1.0
4.2778 0.0000 0.0000
-2.1389 5.2061 -1.4797
0.0000 -0.1715 8.4707
Sm Zn Si
3 4 2
direct
0.6738 0.3475 0.6538 Sm
0.0000 0.0000 0.0000 Sm
0.3262 0.6525 0.3462 Sm
0.7389 0.4777 0.0734 Zn
0.2611 0.5223 0.9266 Zn
0.9709 0.9418 0.6350 Zn
0.0291 0.0582 0.3650 Zn
0.6089 0.2177 0.2746 Si
0.3911 0.7823 0.7254 Si
```

=====

(15)
VASP calculation (GGA-PBE) on a geometry-optimized Co3SiH structure.

Calculated values
DOS(E_F) (states/eV per atom): 1.12
Electronic total energy (Ry/atom): -0.4437
Space group: P6_3/mmc (194)
Energy above the most stable polymorph in this dataset (meV/atom): 262

```
Co3SiH
1.0
-3.7899 0.5522 0.7865
1.3065 -3.5693 -0.9168
1.2262 -1.3040 6.8241
H Si Co
2 2 6
direct
0.0000 0.0000 0.0000 H
0.0000 0.0000 0.5000 H
0.3333 0.6667 0.7500 Si
0.6667 0.3333 0.2500 Si
0.0000 0.0000 0.2500 Co
0.0000 0.0000 0.7500 Co
0.3333 0.6667 0.0747 Co
0.3333 0.6667 0.4253 Co
0.6667 0.3333 0.5747 Co
0.6667 0.3333 0.9253 Co
```

=====

(16)
VASP calculation (GGA-PBE) on a geometry-optimized Mo3HI structure.

Calculated values
DOS(E_F) (states/eV per atom): 0.95
Electronic total energy (Ry/atom): -0.3402
Space group: Pm-3m (221)
Energy above the most stable polymorph in this dataset (meV/atom): 1903

```
Mo3HI
1.0
-4.0596 0.5933 2.6839
-1.5635 -4.4356 -1.3844
2.2607 -2.0023 3.8621
I H Mo
1 1 3
direct
0.0000 0.0000 0.0000 I
0.5000 0.5000 0.5000 H
0.0000 0.5000 0.0000 Mo
0.0000 0.0000 0.5000 Mo
0.5000 0.0000 0.0000 Mo
```

=====

(17)
VASP calculation (GGA-PBE) on a geometry-optimized TcIN3 structure.

Calculated values
DOS(E_F) (states/eV per atom): 0.87
Electronic total energy (Ry/atom): -0.4454
Uncorrected formation energy (meV per atom): 1319
Space group: Pm-3m (221)

```
TcIN3
1.0
-0.1263 -0.3353 3.9724
3.4616 -1.9805 -0.0572
1.9773 3.4458 0.3537
I Tc N
1 1 3
direct
0.5000 0.5000 0.5000 I
0.0000 0.0000 0.0000 Tc
0.0000 0.5000 0.0000 N
0.0000 0.0000 0.5000 N
0.5000 0.0000 0.0000 N
```

=====

(18)
VASP calculation (GGA-PBE) on a geometry-optimized Rb3CaSb2Se6 structure.

Calculated values
DOS(E_F) (states/eV per atom): 0.85
Electronic total energy (Ry/atom): -0.2760
Uncorrected formation energy (meV per atom): -916
Space group: C2/m (12)

```
Rb3CaSb2Se6
1.0
-0.1831 -0.8260 -7.3510
-6.1164 -1.1354 4.0066
0.1305 8.3888 0.2967
Rb Ca Sb Se
3 1 2 6
direct
0.1645 0.8355 0.5000 Rb
0.8355 0.1645 0.5000 Rb
0.5000 0.5000 0.5000 Rb
0.0000 0.0000 0.0000 Ca
0.3331 0.6669 0.0000 Sb
0.6669 0.3331 0.0000 Sb
0.9346 0.5908 0.8044 Se
0.7212 0.7212 0.1947 Se
0.0654 0.4092 0.1956 Se
0.5908 0.9346 0.8044 Se
0.2788 0.2788 0.8053 Se
0.4092 0.0654 0.1956 Se
```

=====

(19)
VASP calculation (GGA-PBE) on a geometry-optimized Cs2PaTe3 structure.

Calculated values
DOS(E_F) (states/eV per atom): 1.12
Electronic total energy (Ry/atom): -0.3269
Uncorrected formation energy (meV per atom): -1010
Space group: C2/m (12)
Energy above the most stable polymorph in this dataset (meV/atom): 0

```
Cs2PaTe3
1.0
7.4521 -0.3279 3.8635
2.8635 8.8515 1.4846
0.3845 -0.1639 8.3771
Cs Pa Te
4 2 6
direct
0.0000 0.0000 0.0000 Cs
0.5000 0.5000 0.0000 Cs
0.8500 0.5000 0.3000 Cs
0.1500 0.5000 0.7000 Cs
0.3318 0.0000 0.3363 Pa
0.6682 0.0000 0.6637 Pa
0.5411 0.1988 0.3900 Te
0.6780 0.8068 0.0000 Te
0.4589 0.8012 0.6100 Te
0.0690 0.8012 0.3900 Te
0.9310 0.1988 0.6100 Te
0.3220 0.1932 0.0000 Te
```

=====

(20)
VASP calculation (GGA-PBE) on a geometry-optimized Pr4Dy2In structure.

Calculated values
Energy of formation (eV per atom): -0.03
DOS(E_F) (states/eV per atom): 1.83
Electronic total energy (Ry/atom): -0.3282
Space group: R-3m (166)

```
Pr4Dy2In
1.0
-1.3444 0.4360 -5.5011
-3.3233 -3.9128 -2.4300
-8.1590 3.2311 -0.6821
Pr Dy In
4 2 1
direct
0.4320 0.4320 0.7041 Pr
0.2884 0.2884 0.1349 Pr
0.7116 0.7116 0.8651 Pr
0.5680 0.5680 0.2959 Pr
0.1412 0.1412 0.5765 Dy
0.8588 0.8588 0.4235 Dy
0.0000 0.0000 0.0000 In
```